{"formula": "CrGaGe", "functional": "PBE-GGA", "state": "relaxed", "lattice": [[5.664, 0.000, -0.109], [0.000, 5.705, 0.000], [-2.718, 0.000, 5.905]], "species": ["Ge", "Cr", "Ga", "Cr", "Cr", "Ga", "Cr", "Ge", "Ge", "Ge", "Ga", "Ga"], "frac_coords": [[0.861, 0.500, 0.221], [0.750, 0.250, 0.500], [0.356, 0.500, 0.211], [0.250, 0.250, 0.500], [0.750, 0.750, 0.500], [0.644, 0.500, 0.789], [0.250, 0.750, 0.500], [0.639, 0.000, 0.779], [0.361, 0.000, 0.221], [0.139, 0.500, 0.779], [0.856, 0.000, 0.211], [0.144, 0.000, 0.789]], "volume_a3_per_cell": 189.1, "delta_e_f_ev_per_atom": -0.01, "dft_energy_ev_per_fu": -17.30, "sg": "Fmmm", "magmom_total_mub_per_fu": 1.9, "de_polymorph_kcal_per_mol_atoms": 0.00}



{"formula": "CrGaGe3", "functional": "PBE-GGA", "state": "relaxed", "lattice": [[4.819, 0.000, 0.000], [0.000, 4.819, 0.000], [0.000, 0.000, 4.819]], "species": ["Cr", "Ge", "Ge", "Ga", "Ge"], "frac_coords": [[0.500, 0.500, 0.500], [0.500, 0.000, 0.000], [0.000, 0.000, 0.500], [0.000, 0.000, 0.000], [0.000, 0.500, 0.000]], "volume_a3_per_cell": 111.9, "delta_e_f_ev_per_atom": 1.36, "dft_energy_ev_per_fu": -19.73, "sg": "Pm-3m", "magmom_total_mub_per_fu": 0.5, "de_polymorph_kcal_per_mol_atoms": 25.29}



{"formula": "Cr2GaGe", "functional": "PBE-GGA", "state": "relaxed", "lattice": [[2.829, 0.000, 0.000], [1.415, 2.450, 0.000], [1.415, 0.817, 8.176]], "species": ["Ge", "Cr", "Cr", "Ga"], "frac_coords": [[0.000, 0.000, 0.000], [0.252, 0.252, 0.245], [0.748, 0.748, 0.755], [0.500, 0.500, 0.500]], "volume_a3_per_cell": 56.7, "delta_e_f_ev_per_atom": 0.23, "dft_energy_ev_per_fu": -25.98, "sg": "R-3m", "magmom_total_mub_per_fu": 3.9}



{"formula": "CrGaGe3", "functional": "PBE-GGA", "state": "relaxed", "lattice": [[-2.813, -2.093, -3.094], [-1.417, -2.986, 3.308], [-3.457, 2.928, 1.162]], "species": ["Ge", "Cr", "Ga", "Ge", "Ge"], "frac_coords": [[0.000, 0.500, 0.000], [0.000, 0.000, 0.000], [0.500, 0.500, 0.500], [0.000, 0.000, 0.500], [0.500, 0.000, 0.000]], "volume_a3_per_cell": 102.3, "delta_e_f_ev_per_atom": 0.26, "dft_energy_ev_per_fu": -25.21, "sg": "Pm-3m", "magmom_total_mub_per_fu": 0.0, "de_polymorph_kcal_per_mol_atoms": 0.00}



{"formula": "CrGaGe", "functional": "PBE-GGA", "state": "relaxed", "lattice": [[2.741, 0.000, 0.000], [0.000, 4.319, 0.000], [0.000, -2.159, 3.740]], "species": ["Ga", "Cr", "Ge"], "frac_coords": [[0.667, 0.667, 0.333], [0.167, 0.000, 0.000], [0.167, 0.333, 0.667]], "volume_a3_per_cell": 44.3, "delta_e_f_ev_per_atom": 0.35, "dft_energy_ev_per_fu": -16.23, "sg": "P-6m2", "magmom_total_mub_per_fu": 0.0, "de_polymorph_kcal_per_mol_atoms": 8.24}



{"formula": "CrGaGe2", "functional": "PBE-GGA", "state": "relaxed", "lattice": [[-1.998, 1.481, 1.904], [-2.611, -1.441, 0.957], [2.225, -2.752, 7.053]], "species": ["Ge", "Ga", "Ge", "Cr"], "frac_coords": [[0.259, 0.259, 0.223], [0.500, 0.500, 0.500], [0.741, 0.741, 0.777], [0.000, 0.000, 0.000]], "volume_a3_per_cell": 65.3, "delta_e_f_ev_per_atom": 0.21, "dft_energy_ev_per_fu": -21.03, "sg": "R-3m", "magmom_total_mub_per_fu": 0.6}



{"formula": "Cr2GaGe2", "functional": "PBE-GGA", "state": "relaxed", "lattice": [[6.599, 0.000, 0.000], [0.000, 6.599, 0.000], [0.000, 0.000, 3.301]], "species": ["Cr", "Ge", "Ge", "Cr", "Ge", "Cr", "Ga", "Ga", "Cr", "Ge"], "frac_coords": [[0.649, 0.149, 0.000], [0.352, 0.148, 0.500], [0.852, 0.352, 0.500], [0.149, 0.351, 0.000], [0.648, 0.852, 0.500], [0.851, 0.649, 0.000], [0.000, 0.000, 0.000], [0.500, 0.500, 0.000], [0.351, 0.851, 0.000], [0.148, 0.648, 0.500]], "volume_a3_per_cell": 143.7, "delta_e_f_ev_per_atom": 0.10, "dft_energy_ev_per_fu": -31.00, "sg": "P4/mbm", "magmom_total_mub_per_fu": 1.3}



{"formula": "CrGa2Ge", "functional": "PBE-GGA", "state": "relaxed", "lattice": [[2.996, 0.000, 0.000], [1.498, 2.594, 0.000], [1.498, 0.865, 8.436]], "species": ["Ga", "Ge", "Ga", "Cr"], "frac_coords": [[0.256, 0.256, 0.232], [0.500, 0.500, 0.500], [0.744, 0.744, 0.768], [0.000, 0.000, 0.000]], "volume_a3_per_cell": 65.6, "delta_e_f_ev_per_atom": 0.22, "dft_energy_ev_per_fu": -19.40, "sg": "R-3m", "magmom_total_mub_per_fu": 2.4}



{"formula": "KCrGaGe2", "functional": "PBE-GGA", "state": "relaxed", "lattice": [[4.706, 0.000, 0.000], [0.000, 4.706, 0.000], [0.000, 0.000, 4.846]], "species": ["K", "Cr", "Ge", "Ga", "Ge"], "frac_coords": [[0.500, 0.500, 0.500], [0.000, 0.000, 0.000], [0.500, 0.000, 0.000], [0.000, 0.000, 0.500], [0.000, 0.500, 0.000]], "volume_a3_per_cell": 107.3, "delta_e_f_ev_per_atom": -0.04, "dft_energy_ev_per_fu": -23.20, "sg": "P4/mmm", "magmom_total_mub_per_fu": 0.0}



{"formula": "KCrGa2Ge", "functional": "PBE-GGA", "state": "relaxed", "lattice": [[4.841, 0.000, 0.000], [0.000, 4.841, 0.000], [0.000, 0.000, 4.706]], "species": ["Ga", "Ga", "Ge", "K", "Cr"], "frac_coords": [[0.000, 0.500, 0.000], [0.500, 0.000, 0.000], [0.000, 0.000, 0.500], [0.500, 0.500, 0.500], [0.000, 0.000, 0.000]], "volume_a3_per_cell": 110.3, "delta_e_f_ev_per_atom": -0.02, "dft_energy_ev_per_fu": -21.49, "sg": "P4/mmm", "magmom_total_mub_per_fu": 0.8}



{"formula": "Li2CrGaGe", "functional": "PBE-GGA", "state": "relaxed", "lattice": [[4.505, 0.000, 0.000], [0.000, 4.850, 0.000], [0.000, 0.000, 4.505]], "species": ["Ga", "Cr", "Ge", "Li", "Li"], "frac_coords": [[0.000, 0.500, 0.000], [0.500, 0.500, 0.500], [0.000, 0.000, 0.000], [0.000, 0.000, 0.500], [0.500, 0.000, 0.000]], "volume_a3_per_cell": 98.4, "delta_e_f_ev_per_atom": 0.94, "dft_energy_ev_per_fu": -16.42, "sg": "P4/mmm", "magmom_total_mub_per_fu": 0.1}



{"formula": "NaCrGaGe2", "functional": "PBE-GGA", "state": "relaxed", "lattice": [[-1.895, 3.653, 2.165], [-3.413, 0.100, -3.157], [-2.589, -2.946, 2.705]], "species": ["Na", "Cr", "Ge", "Ga", "Ge"], "frac_coords": [[0.500, 0.500, 0.500], [0.000, 0.000, 0.000], [0.000, 0.500, 0.000], [0.000, 0.000, 0.500], [0.500, 0.000, 0.000]], "volume_a3_per_cell": 103.0, "delta_e_f_ev_per_atom": -0.01, "dft_energy_ev_per_fu": -23.25, "sg": "P4/mmm", "magmom_total_mub_per_fu": 0.0}